Entry 1:
4
Lattice="0.000 4.401 4.401 4.401 0.000 4.401 4.401 4.401 0.000" Properties=species:S:1:pos:R:3 comment="Cs2YMn (SCAN, single point on PBEsol structure)" delta_e_f_mev_per_atom=1031.9 sg=Fm-3m pbc="T T T"
Cs 2.200 2.200 2.200
Cs 6.601 6.601 6.601
Y 0.000 0.000 0.000
Mn 4.401 4.401 4.401

---

Entry 2:
5
Lattice="5.156 0.000 0.000 0.000 5.156 0.000 0.000 0.000 5.156" Properties=species:S:1:pos:R:3 comment="CsZr3Mn (SCAN, single point on PBEsol structure)" delta_e_f_mev_per_atom=1987.9 sg=Pm-3m pbc="T T T"
Cs 0.000 0.000 0.000
Zr 0.000 0.000 2.578
Zr 0.000 2.578 0.000
Zr 2.578 0.000 0.000
Mn 2.578 2.578 2.578

---

Entry 3:
5
Lattice="6.596 0.000 0.000 0.000 6.596 0.000 0.000 0.000 6.596" Properties=species:S:1:pos:R:3 comment="Cs3ZrMn (SCAN, single point on PBEsol structure)" delta_e_f_mev_per_atom=1413.4 sg=Pm-3m pbc="T T T"
Cs 0.000 0.000 3.298
Cs 0.000 3.298 0.000
Cs 3.298 0.000 0.000
Zr 3.298 3.298 3.298
Mn 0.000 0.000 0.000

---

Entry 4:
4
Lattice="0.000 4.655 4.655 4.655 0.000 4.655 4.655 4.655 0.000" Properties=species:S:1:pos:R:3 comment="Cs2NaMo (SCAN, single point on PBEsol structure)" delta_e_f_mev_per_atom=1100.5 sg=Fm-3m pbc="T T T"
Cs 2.327 2.327 2.327
Cs 6.982 6.982 6.982
Na 0.000 0.000 0.000
Mo 4.655 4.655 4.655

---

Entry 5:
5
Lattice="6.934 0.000 0.000 0.000 6.934 0.000 0.000 0.000 6.934" Properties=species:S:1:pos:R:3 comment="Cs3NbMo (SCAN, single point on PBEsol structure)" relative_energy_mev_per_atom=0 delta_e_f_mev_per_atom=1826.4 sg=Pm-3m pbc="T T T"
Cs 0.000 0.000 3.467
Cs 0.000 3.467 0.000
Cs 3.467 0.000 0.000
Nb 0.000 0.000 0.000
Mo 3.467 3.467 3.467

---

Entry 6:
4
Lattice="0.000 4.129 4.129 4.129 0.000 4.129 4.129 4.129 0.000" Properties=species:S:1:pos:R:3 comment="Cs2NiMo (SCAN, single point on PBEsol structure)" delta_e_f_mev_per_atom=1726.5 sg=Fm-3m pbc="T T T"
Cs 2.064 2.064 2.064
Cs 6.193 6.193 6.193
Ni 0.000 0.000 0.000
Mo 4.129 4.129 4.129

---

Entry 7:
5
Lattice="4.499 0.000 0.000 0.000 4.499 0.000 0.000 0.000 5.190" Properties=species:S:1:pos:R:3 comment="CsZrNi2Mo (SCAN, single point on PBEsol structure)" delta_e_f_mev_per_atom=1844.0 sg=P4/mmm pbc="T T T"
Cs 0.000 0.000 0.000
Zr 2.249 2.249 0.000
Ni 0.000 2.249 2.595
Ni 2.249 0.000 2.595
Mo 0.000 0.000 2.595

---

Entry 8:
28
Lattice="13.962 0.000 0.000 0.000 6.604 0.000 0.000 0.000 8.190" Properties=species:S:1:pos:R:3 comment="Cs2MoO4 (SCAN, single point on PBEsol structure)" sg=Pnma e_form_raw_mev_per_atom=-2263 pbc="T T T"
Cs 0.736 1.651 1.175
Cs 2.285 1.651 4.976
Cs 4.696 4.953 0.881
Cs 6.245 4.953 5.270
Cs 7.718 1.651 2.920
Cs 9.266 1.651 7.309
Cs 11.677 4.953 3.214
Cs 13.226 4.953 7.015
Mo 1.513 4.953 2.891
Mo 5.468 1.651 6.986
Mo 8.495 4.953 1.204
Mo 12.449 1.651 5.299
O 0.236 4.953 1.650
O 0.784 4.953 4.498
O 2.520 3.519 2.663
O 2.520 6.388 2.663
O 4.461 0.217 6.757
O 4.461 3.086 6.757
O 6.198 1.651 0.403
O 6.745 1.651 5.745
O 7.217 4.953 2.445
O 7.765 4.953 7.786
O 9.501 3.519 1.432
O 9.501 6.388 1.432
O 11.442 0.217 5.527
O 11.442 3.086 5.527
O 13.179 1.651 3.692
O 13.726 1.651 6.540